(1)
Below is a geometry-optimized SiHg2Au structure, with properties calculated at the PBE-GGA level.

Output
ρ (g cm⁻³): 11.72
V (A^3/atom): 22.2
Formation energy (no corrections) (eV/atom): 0.243
Size of the total moment (μB/f.u.): 0.00
DOS at the Fermi energy (states/eV per cell): 1.48

Unit cell a=7.078 b=7.078 c=7.078 alpha=154.58 beta=144.23 gamma=44.40
Atoms (fractional coordinates):
Hg  0.295  0.795  0.500
Hg  0.969  0.969  0.000
Si  0.543  0.543  0.000
Au  0.693  0.193  0.500

=====

(2)
Below is a geometry-optimized Si2HgAu2 structure, with properties calculated at the PBE-GGA level.

Output
ρ (g cm⁻³): 11.25
V (A^3/atom): 19.2
Formation energy (no corrections) (eV/atom): 0.223
Size of the total moment (μB/f.u.): 0.00
DOS at the Fermi energy (states/eV per cell): 1.88
ΔE to the lowest computed polymorph (eV per atom): 0.060

Unit cell a=3.887 b=3.887 c=6.925 alpha=73.70 beta=73.70 gamma=90.00
Atoms (fractional coordinates):
Au  0.388  0.388  0.223
Au  0.612  0.612  0.777
Si  0.250  0.750  0.500
Si  0.750  0.250  0.500
Hg  0.000  0.000  0.000

=====

(3)
Below is a geometry-optimized SiHg2Au structure, with properties calculated at the PBE-GGA level.

Output
ρ (g cm⁻³): 12.03
V (A^3/atom): 21.6
Formation energy (no corrections) (eV/atom): 0.341
Size of the total moment (μB/f.u.): 0.00
DOS at the Fermi energy (states/eV per cell): 1.19

Unit cell a=4.437 b=4.437 c=6.238 alpha=76.46 beta=76.46 gamma=46.74
Atoms (fractional coordinates):
Au  0.750  0.750  0.750
Hg  0.503  0.503  0.490
Hg  0.997  0.997  0.010
Si  0.250  0.250  0.250

=====

(4)
Below is a geometry-optimized SiHg2Au structure, with properties calculated at the PBE-GGA level.

Output
ρ (g cm⁻³): 12.17
V (A^3/atom): 21.4
Formation energy (no corrections) (eV/atom): 0.326
Size of the total moment (μB/f.u.): 0.00
DOS at the Fermi energy (states/eV per cell): 1.73

Unit cell a=4.966 b=2.929 c=6.887 alpha=121.50 beta=90.00 gamma=90.00
Atoms (fractional coordinates):
Si  0.500  0.250  0.250
Hg  0.000  0.957  0.000
Hg  0.000  0.543  0.500
Au  0.500  0.750  0.750